1.
# Cd8In3Hg

A relaxed Cd8In3Hg crystal (PBE, Alexandria).

Calculated density ... 8302 kg/m³
Formation energy from the elements ... 0.02 eV/atom
Density of states at the Fermi level ... 3.9 states/eV/f.u.
Space group ... No. 1
Size of the total moment ... 0.00 μB per formula unit

a b c (Å): 4.613 7.076 11.236
angles (deg): 75.37 125.32 101.46
Fractional positions:
Cd 0.015 0.696 0.299
Cd 0.689 0.023 0.304
Cd 0.494 0.459 0.037
Cd 0.982 0.216 0.785
Cd 0.840 0.624 0.543
Cd 0.172 0.289 0.544
Cd 0.314 0.886 0.780
Cd 0.504 0.956 0.542
In 0.351 0.363 0.295
In 0.172 0.786 0.044
In 0.814 0.122 0.037
Hg 0.651 0.550 0.786

2.
# Cd7In4Hg

A relaxed Cd7In4Hg crystal (PBE, Alexandria).

Calculated density ... 7908 kg/m³
Formation energy from the elements ... 0.05 eV/atom
Density of states at the Fermi level ... 3.0 states/eV/f.u.
Space group ... No. 164
Size of the total moment ... 0.00 μB per formula unit

a b c (Å): 5.136 5.136 13.299
angles (deg): 90.00 90.00 120.00
Fractional positions:
In 0.333 0.667 0.921
In 0.667 0.333 0.079
In 0.667 0.333 0.329
In 0.333 0.667 0.671
Cd 0.667 0.333 0.571
Cd 0.667 0.333 0.812
Cd 0.333 0.667 0.429
Cd 0.000 0.000 0.000
Cd 0.000 0.000 0.246
Cd 0.000 0.000 0.754
Cd 0.333 0.667 0.188
Hg 0.000 0.000 0.500

3.
# CdIn2Hg4

A relaxed CdIn2Hg4 crystal (PBE, Alexandria).

Calculated density ... 10037 kg/m³
Formation energy from the elements ... 0.04 eV/atom
Density of states at the Fermi level ... 2.9 states/eV/f.u.
Space group ... No. 70
Size of the total moment ... 0.00 μB per formula unit

a b c (Å): 11.275 10.053 9.854
angles (deg): 68.99 56.34 54.67
Fractional positions:
Hg 0.016 0.484 0.016
Hg 0.115 0.385 0.385
Hg 0.385 0.115 0.115
Hg 0.234 0.766 0.234
Hg 0.763 0.763 0.237
Hg 0.766 0.234 0.766
Hg 0.487 0.487 0.013
Hg 0.625 0.625 0.125
Hg 0.625 0.125 0.625
Hg 0.237 0.237 0.763
Hg 0.865 0.135 0.135
Hg 0.484 0.016 0.484
Hg 0.125 0.625 0.625
Hg 0.625 0.625 0.625
Hg 0.013 0.013 0.487
Hg 0.135 0.865 0.865
In 0.867 0.785 0.481
In 0.785 0.867 0.868
In 0.465 0.383 0.382
In 0.868 0.481 0.785
In 0.481 0.868 0.867
In 0.383 0.465 0.769
In 0.769 0.382 0.383
In 0.382 0.769 0.465
Cd 0.625 0.125 0.125
Cd 0.125 0.125 0.625
Cd 0.125 0.125 0.125
Cd 0.125 0.625 0.125

4.
# Cd9In2Hg

A relaxed Cd9In2Hg crystal (PBE, Alexandria).

Calculated density ... 8195 kg/m³
Formation energy from the elements ... 0.06 eV/atom
Density of states at the Fermi level ... 5.0 states/eV/f.u.
Space group ... No. 191
Size of the total moment ... 0.00 μB per formula unit

a b c (Å): 3.234 10.213 10.213
angles (deg): 120.00 90.00 90.00
Fractional positions:
Cd 0.500 0.828 0.656
Cd 0.000 0.500 0.000
Cd 0.500 0.344 0.172
Cd 0.500 0.656 0.828
Cd 0.500 0.172 0.344
Cd 0.500 0.172 0.828
Cd 0.500 0.828 0.172
Cd 0.000 0.500 0.500
Cd 0.000 0.000 0.500
In 0.000 0.333 0.667
In 0.000 0.667 0.333
Hg 0.000 0.000 0.000